Compound: Pm2MnSi5
Source: the Alexandria database
Functional: PBE
Structure: optimized geometry

The formation energy (no corrections) comes out at -332 kJ/mol of formula units.

The space group is I4mm (No. 107) and the conventional cell measures 5.8023, 5.8023 and 8.9279 Å, with angles of 90.00, 90.00 and 90.00 degrees. The asymmetric unit holds Pm at (0.0000, 0.5000, 0.0000), Mn at (0.0000, 0.0000, 0.2918), Si at (0.0000, 0.0000, 0.5512) and Si at (0.2153, 0.2153, 0.7545).

***

Compound: PmMn2Si2
Source: the Alexandria database
Functional: PBE
Structure: optimized geometry

The formation energy (no corrections) comes out at -282 kJ/mol of formula units.

The space group is I4/mmm (No. 139) and the conventional cell measures 3.9474, 3.9474 and 10.4688 Å, with angles of 90.00, 90.00 and 90.00 degrees. The asymmetric unit holds Pm at (0.0000, 0.0000, 0.0000), Mn at (0.0000, 0.5000, 0.2500) and Si at (0.0000, 0.0000, 0.3768).

***

Compound: Pm2MnSi6
Source: the Alexandria database
Functional: PBE
Structure: optimized geometry

The formation energy (no corrections) comes out at -329 kJ/mol of formula units.

The space group is P-3m1 (No. 164) and the conventional cell measures 5.7608, 5.7608 and 5.3223 Å, with angles of 90.00, 90.00 and 120.00 degrees. The asymmetric unit holds Pm at (0.3333, 0.6667, 0.1558), Mn at (0.0000, 0.0000, 0.0000) and Si at (0.1703, 0.3407, 0.6798).

***

Compound: Pm12MnSi7
Source: the Alexandria database
Functional: PBE
Structure: optimized geometry

The formation energy (no corrections) comes out at -765 kJ/mol of formula units.

The space group is R-3 (No. 148, hexagonal axes) and the conventional cell measures 14.6202, 14.6202 and 8.9047 Å, with angles of 90.00, 90.00 and 120.00 degrees. The asymmetric unit holds Pm at (0.0288, 0.5870, 0.3204), Pm at (0.0452, 0.8695, 0.2747), Mn at (0.0000, 0.0000, 0.0000), Si at (0.0000, 0.0000, 0.5000) and Si at (0.0448, 0.8682, 0.9301).

***

Compound: PmMn5Si3
Source: the Alexandria database
Functional: PBE
Structure: optimized geometry

The formation energy (no corrections) comes out at -319 kJ/mol of formula units.

The space group is Cmcm (No. 63) and the conventional cell measures 3.8458, 12.1761 and 11.2423 Å, with angles of 90.00, 90.00 and 90.00 degrees. The asymmetric unit holds Pm at (0.0000, 0.1668, 0.2500), Mn at (0.0000, 0.0000, 0.0000), Mn at (0.0000, 0.1917, 0.5559), Mn at (0.0000, 0.4431, 0.1485), Si at (0.0000, 0.1208, 0.7500) and Si at (0.0000, 0.3821, 0.5524).

***

Compound: PmMn3Si3
Source: the Alexandria database
Functional: PBE
Structure: optimized geometry

The formation energy (no corrections) comes out at 99 kJ/mol of formula units.

The space group is Pm-3n (No. 223) and the conventional cell measures 6.3415, 6.3415 and 6.3415 Å, with angles of 90.00, 90.00 and 90.00 degrees. The asymmetric unit holds Pm at (0.0000, 0.0000, 0.0000), Mn at (0.0000, 0.2500, 0.5000) and Si at (0.0000, 0.5000, 0.2500).

***

Compound: PmMn3Si2
Source: the Alexandria database
Functional: PBE
Structure: optimized geometry

The formation energy (no corrections) comes out at -253 kJ/mol of formula units.

The space group is C2/m (No. 12) and the conventional cell measures 14.5814, 3.9052 and 7.2192 Å, with angles of 90.00, 114.82 and 90.00 degrees. The asymmetric unit holds Pm at (0.1467, 0.0000, 0.0626), Mn at (0.0407, 0.0000, 0.3893), Mn at (0.0819, 0.5000, 0.6277), Mn at (0.1895, 0.5000, 0.4666), Si at (0.0213, 0.5000, 0.1884) and Si at (0.1924, 0.0000, 0.6874).

***

Compound: PmTiMnSi2
Source: the Alexandria database
Functional: PBE
Structure: optimized geometry

The formation energy (no corrections) comes out at -307 kJ/mol of formula units.

The space group is I-4m2 (No. 119) and the conventional cell measures 3.9957, 3.9957 and 11.0563 Å, with angles of 90.00, 90.00 and 90.00 degrees. The asymmetric unit holds Pm at (0.0000, 0.0000, 0.0000), Ti at (0.0000, 0.5000, 0.7500), Mn at (0.0000, 0.5000, 0.2500) and Si at (0.0000, 0.0000, 0.3883).

***

Compound: Pm2SmMn
Source: the Alexandria database
Functional: PBE
Structure: optimized geometry

The formation energy is 12.388 kcal/mol of atoms. For the relative energy among the computed polymorphs, the calculation gives 1.48 eV per formula unit.

The space group is R-3m (No. 166, hexagonal axes) and the conventional cell measures 3.4557, 3.4557 and 35.0117 Å, with angles of 90.00, 90.00 and 120.00 degrees. The asymmetric unit holds Pm at (0.0000, 0.0000, 0.0810), Sm at (0.0000, 0.0000, 0.5000) and Mn at (0.0000, 0.0000, 0.0000).

***

Compound: Pm2SmMn
Source: the Alexandria database
Functional: PBE
Structure: optimized geometry

The formation energy is 3.882 kcal/mol of atoms. For the relative energy among the computed polymorphs, the calculation gives 0.00 eV per formula unit.

The space group is P4/mmm (No. 123) and the conventional cell measures 3.6281, 3.6281 and 8.9152 Å, with angles of 90.00, 90.00 and 90.00 degrees. The asymmetric unit holds Pm at (0.0000, 0.0000, 0.2046), Sm at (0.5000, 0.5000, 0.5000) and Mn at (0.5000, 0.5000, 0.0000).

***

Compound: PmSm2Mn
Source: the Alexandria database
Functional: PBE
Structure: optimized geometry

The formation energy is 3.706 kcal/mol of atoms.

The space group is P4/mmm (No. 123) and the conventional cell measures 3.6129, 3.6129 and 8.8941 Å, with angles of 90.00, 90.00 and 90.00 degrees. The asymmetric unit holds Pm at (0.0000, 0.0000, 0.0000), Sm at (0.5000, 0.5000, 0.2989) and Mn at (0.0000, 0.0000, 0.5000).

***

Compound: PmSmMnTl
Source: the Alexandria database
Functional: PBE
Structure: optimized geometry

The formation energy is -0.017 kcal/mol of atoms.

The space group is F-43m (No. 216) and the conventional cell measures 7.5515, 7.5515 and 7.5515 Å, with angles of 90.00, 90.00 and 90.00 degrees. The asymmetric unit holds Pm at (0.0000, 0.0000, 0.0000), Sm at (0.0000, 0.0000, 0.5000), Mn at (0.2500, 0.2500, 0.7500) and Tl at (0.2500, 0.2500, 0.2500).

***

Compound: PmMnSn
Source: the Alexandria database
Functional: PBE
Structure: optimized geometry

The formation energy is -4.946 kcal/mol of atoms.

The space group is C2/m (No. 12) and the conventional cell measures 12.4591, 4.0812 and 5.4598 Å, with angles of 90.00, 99.27 and 90.00 degrees. The asymmetric unit holds Pm at (0.1248, 0.0000, 0.3253), Mn at (0.2231, 0.0000, 0.9142) and Sn at (0.0850, 0.5000, 0.8057).

***

Compound: SrPm3Mn
Source: the Alexandria database
Functional: PBE
Structure: optimized geometry

The formation energy is 5.177 kcal/mol of atoms.

The space group is Pm-3m (No. 221) and the conventional cell measures 5.5487, 5.5487 and 5.5487 Å, with angles of 90.00, 90.00 and 90.00 degrees. The asymmetric unit holds Sr at (0.0000, 0.0000, 0.0000), Pm at (0.0000, 0.5000, 0.5000) and Mn at (0.5000, 0.5000, 0.5000).

***

Compound: TbPm2Mn
Source: the Alexandria database
Functional: PBE
Structure: optimized geometry

The formation energy is 12.287 kcal/mol of atoms. For the relative energy among the computed polymorphs, the calculation gives 1.45 eV per formula unit.

The space group is R-3m (No. 166, hexagonal axes) and the conventional cell measures 3.4393, 3.4393 and 34.9076 Å, with angles of 90.00, 90.00 and 120.00 degrees. The asymmetric unit holds Tb at (0.0000, 0.0000, 0.0000), Pm at (0.0000, 0.0000, 0.4183) and Mn at (0.0000, 0.0000, 0.5000).

***

Compound: Tb2PmMn
Source: the Alexandria database
Functional: PBE
Structure: optimized geometry

The formation energy is 3.021 kcal/mol of atoms. For the relative energy among the computed polymorphs, the calculation gives 0.00 eV per formula unit.

The space group is P4/mmm (No. 123) and the conventional cell measures 3.5528, 3.5528 and 8.8329 Å, with angles of 90.00, 90.00 and 90.00 degrees. The asymmetric unit holds Tb at (0.0000, 0.0000, 0.1962), Pm at (0.5000, 0.5000, 0.5000) and Mn at (0.5000, 0.5000, 0.0000).

***

Compound: TbPmMn
Source: the Alexandria database
Functional: PBE
Structure: optimized geometry

The formation energy is 4.462 kcal/mol of atoms. For the relative energy among the computed polymorphs, the calculation gives 0.00 eV per formula unit.

The space group is I4mm (No. 107) and the conventional cell measures 3.5445, 3.5445 and 12.8898 Å, with angles of 90.00, 90.00 and 90.00 degrees. The asymmetric unit holds Tb at (0.0000, 0.0000, 0.0000), Pm at (0.0000, 0.0000, 0.7274) and Mn at (0.0000, 0.0000, 0.3679).

***

Compound: Tb2PmMn
Source: the Alexandria database
Functional: PBE
Structure: optimized geometry

The formation energy is 12.097 kcal/mol of atoms. For the relative energy among the computed polymorphs, the calculation gives 1.57 eV per formula unit.

The space group is R-3m (No. 166, hexagonal axes) and the conventional cell measures 3.4225, 3.4225 and 34.3310 Å, with angles of 90.00, 90.00 and 120.00 degrees. The asymmetric unit holds Tb at (0.0000, 0.0000, 0.0806), Pm at (0.0000, 0.0000, 0.5000) and Mn at (0.0000, 0.0000, 0.0000).

***

Compound: TbPmMn17
Source: the Alexandria database
Functional: PBE
Structure: optimized geometry

The formation energy is 0.593 kcal/mol of atoms.

The space group is R3m (No. 160, hexagonal axes) and the conventional cell measures 8.6885, 8.6885 and 11.6792 Å, with angles of 90.00, 90.00 and 120.00 degrees. The asymmetric unit holds Tb at (0.0000, 0.0000, 0.0000), Pm at (0.0000, 0.0000, 0.2896), Mn at (0.0000, 0.0000, 0.5466), Mn at (0.0000, 0.0000, 0.7455), Mn at (0.0004, 0.2741, 0.6461), Mn at (0.0159, 0.5079, 0.5075), Mn at (0.1670, 0.3341, 0.4796) and Mn at (0.1741, 0.3481, 0.1168).

***

Compound: TbPmMn
Source: the Alexandria database
Functional: PBE
Structure: optimized geometry

The formation energy is 5.838 kcal/mol of atoms. For the relative energy among the computed polymorphs, the calculation gives 0.18 eV per formula unit.

The space group is C2/m (No. 12) and the conventional cell measures 15.3867, 5.4352 and 3.9100 Å, with angles of 90.00, 104.59 and 90.00 degrees. The asymmetric unit holds Tb at (0.1718, 0.0000, 0.4201), Pm at (0.0957, 0.5000, 0.8452) and Mn at (0.0289, 0.0000, 0.7786).

***

Compound: TbPm2Mn
Source: the Alexandria database
Functional: PBE
Structure: optimized geometry

The formation energy is 3.908 kcal/mol of atoms. For the relative energy among the computed polymorphs, the calculation gives 0.00 eV per formula unit.

The space group is P4/mmm (No. 123) and the conventional cell measures 3.6063, 3.6063 and 8.8734 Å, with angles of 90.00, 90.00 and 90.00 degrees. The asymmetric unit holds Tb at (0.0000, 0.0000, 0.0000), Pm at (0.5000, 0.5000, 0.2916) and Mn at (0.0000, 0.0000, 0.5000).

***

Compound: TbPmMnTl
Source: the Alexandria database
Functional: PBE
Structure: optimized geometry

The formation energy is -0.182 kcal/mol of atoms.

The space group is F-43m (No. 216) and the conventional cell measures 7.4903, 7.4903 and 7.4903 Å, with angles of 90.00, 90.00 and 90.00 degrees. The asymmetric unit holds Tb at (0.0000, 0.0000, 0.0000), Pm at (0.0000, 0.0000, 0.5000), Mn at (0.2500, 0.2500, 0.2500) and Tl at (0.2500, 0.2500, 0.7500).

***

Compound: PmMnTc
Source: the Alexandria database
Functional: PBE
Structure: optimized geometry

The formation energy is 5.802 kcal/mol of atoms.

The space group is Cmcm (No. 63) and the conventional cell measures 4.0112, 14.6372 and 4.2402 Å, with angles of 90.00, 90.00 and 90.00 degrees. The asymmetric unit holds Pm at (0.0000, 0.0924, 0.2500), Mn at (0.0000, 0.2501, 0.7500) and Tc at (0.0000, 0.3317, 0.2500).

***

Compound: PmMnTe3
Source: the Alexandria database
Functional: PBE
Structure: optimized geometry

The formation energy (no corrections) comes out at -373 kJ/mol of formula units.

The space group is P2_1/m (No. 11) and the conventional cell measures 7.8448, 4.2595 and 8.7166 Å, with angles of 90.00, 93.97 and 90.00 degrees. The asymmetric unit holds Pm at (0.1222, 0.2500, 0.2880), Mn at (0.3512, 0.7500, 0.8390), Te at (0.1274, 0.2500, 0.9072), Te at (0.2336, 0.7500, 0.5420) and Te at (0.4047, 0.7500, 0.1590).

***

Compound: PmMnTe2
Source: the Alexandria database
Functional: PBE
Structure: optimized geometry

The formation energy (no corrections) comes out at -272 kJ/mol of formula units.

The space group is Pmn2_1 (No. 31) and the conventional cell measures 4.2973, 12.2958 and 4.2971 Å, with angles of 90.00, 90.00 and 90.00 degrees. The asymmetric unit holds Pm at (0.0000, 0.1072, 0.0000), Mn at (0.0000, 0.6077, 0.0108), Te at (0.0000, 0.3787, 0.0036) and Te at (0.0000, 0.8459, 0.0000).